No. 1
LiSbCl4 | PBE | relaxed

Results
The value obtained for the total magnetic moment is 2.0 μB/f.u. The value obtained for the energy relative to the elements, uncorrected is 0.223 eV per atom. The final energy comes out at -2.014 eV per atom. The distance to the lowest polymorph of the same formula is 1354 meV per atom.

Cell: 5.9705 5.9705 5.9705 Å, 60.00 60.00 60.00°
With the nearest neighbours (Å) after each atom.
Element x y z (fractional)
Li: 0.0000 0.0000 0.0000  12 Cl 3.50, 4 Sb 3.66
Sb: 0.7500 0.7500 0.7500  12 Cl 3.50, 4 Li 3.66
Cl: 0.3749 0.3749 0.3749  6 Cl 2.98-2.99
Cl: 0.3749 0.3749 0.8754  6 Cl 2.98-2.99
Cl: 0.3749 0.8754 0.3749  6 Cl 2.98-2.99
Cl: 0.8754 0.3749 0.3749  6 Cl 2.98-2.99

=====

No. 2
Li2SbCl | PBE | relaxed

Results
The value obtained for the total magnetic moment is 0.0 μB/f.u. The value obtained for the energy relative to the elements, uncorrected is -0.999 eV per atom. The final energy comes out at -3.448 eV per atom. The distance to the lowest polymorph of the same formula is 61 meV per atom.

Cell: 3.3073 3.3743 7.8647 Å, 90.00 100.23 90.00°
With the nearest neighbours (Å) after each atom.
Element x y z (fractional)
Li: 0.0000 0.0000 0.0000  2 Cl 2.38-2.39
Li: 0.2422 0.5000 0.5790  2 Cl 2.30
Sb: 0.6185 0.5000 0.2671  6 Li 2.91-3.15
Cl: 0.4051 0.0000 0.7779  4 Li 2.30-2.39

=====

No. 3
Li2SbCl | PBE | relaxed

Results
The value obtained for the total magnetic moment is 0.0 μB/f.u. The value obtained for the energy relative to the elements, uncorrected is -0.807 eV per atom. The final energy comes out at -3.257 eV per atom. The distance to the lowest polymorph of the same formula is 253 meV per atom.

Cell: 6.4131 6.4131 6.4131 Å, 151.82 98.29 88.53°
With the nearest neighbours (Å) after each atom.
Element x y z (fractional)
Li: 0.2052 0.0000 0.2052  2 Cl 2.32
Li: 0.7948 0.0000 0.7948  2 Cl 2.32
Sb: 0.5000 0.5000 0.0000  4 Li 2.92, 2 Sb 3.12
Cl: 0.0000 0.5000 0.5000  4 Li 2.32

=====

No. 4
LiSb3Cl | PBE | relaxed

Results
The value obtained for the total magnetic moment is 0.0 μB/f.u. The value obtained for the energy relative to the elements, uncorrected is 0.541 eV per atom. The final energy comes out at -2.685 eV per atom. The distance to the lowest polymorph of the same formula is 280 meV per atom.

Cell: 5.4017 5.4017 5.4017 Å, 90.00 90.00 90.00°
With the nearest neighbours (Å) after each atom.
Element x y z (fractional)
Li: 0.0000 0.0000 0.0000  12 Sb 3.82
Sb: 0.0000 0.5000 0.5000  2 Cl 2.70
Sb: 0.5000 0.0000 0.5000  2 Cl 2.70
Sb: 0.5000 0.5000 0.0000  2 Cl 2.70
Cl: 0.5000 0.5000 0.5000  6 Sb 2.70

=====

No. 5
Li12Sb3Cl5 | PBE | relaxed

Results
The value obtained for the total magnetic moment is 0.0 μB/f.u. The value obtained for the energy relative to the elements, uncorrected is -1.062 eV per atom. The final energy comes out at -3.291 eV per atom.

Cell: 13.1666 13.1666 13.1666 Å, 109.47 109.47 109.47°
With the nearest neighbours (Å) after each atom.
Element x y z (fractional)
Li: 0.0432 0.2188 0.1310  2 Cl 2.37-2.56
Li: 0.0432 0.3245 0.9123  2 Cl 2.37-2.56
Li: 0.0877 0.6310 0.4122  2 Cl 2.37-2.56
Li: 0.0878 0.7188 0.6755  2 Cl 2.37-2.56
Li: 0.0878 0.8690 0.4123  2 Cl 2.37-2.56
Li: 0.0877 0.9568 0.6755  2 Cl 2.37-2.56
Li: 0.1310 0.0432 0.2188  2 Cl 2.37-2.56
Li: 0.1310 0.5877 0.9122  2 Cl 2.37-2.56
Li: 0.1755 0.2188 0.5878  2 Cl 2.37-2.56
Li: 0.1755 0.4568 0.5877  2 Cl 2.37-2.56
Li: 0.2188 0.1310 0.0432  2 Cl 2.37-2.56
Li: 0.2188 0.5878 0.1755  2 Cl 2.37-2.56
Li: 0.2812 0.3245 0.9122  2 Cl 2.37-2.56
Li: 0.2812 0.4568 0.3690  2 Cl 2.37-2.56
Li: 0.3245 0.9123 0.0432  2 Cl 2.37-2.56
Li: 0.3245 0.9122 0.2812  2 Cl 2.37-2.56
Li: 0.3690 0.2812 0.4568  2 Cl 2.37-2.56
Li: 0.3690 0.5878 0.9123  2 Cl 2.37-2.56
Li: 0.4122 0.0877 0.6310  2 Cl 2.37-2.56
Li: 0.4123 0.0878 0.8690  2 Cl 2.37-2.56
Li: 0.4123 0.8245 0.5432  2 Cl 2.37-2.56
Li: 0.4122 0.8245 0.7812  2 Cl 2.37-2.56
Li: 0.4568 0.3690 0.2812  2 Cl 2.37-2.56
Li: 0.4568 0.5877 0.1755  2 Cl 2.37-2.56
Li: 0.5432 0.4123 0.8245  2 Cl 2.37-2.56
Li: 0.5432 0.6310 0.7188  2 Cl 2.37-2.56
Li: 0.5878 0.1755 0.2188  2 Cl 2.37-2.56
Li: 0.5877 0.1755 0.4568  2 Cl 2.37-2.56
Li: 0.5877 0.9122 0.1310  2 Cl 2.37-2.56
Li: 0.5878 0.9123 0.3690  2 Cl 2.37-2.56
Li: 0.6310 0.4122 0.0877  2 Cl 2.37-2.56
Li: 0.6310 0.7188 0.5432  2 Cl 2.37-2.56
Li: 0.6755 0.0878 0.7188  2 Cl 2.37-2.56
Li: 0.6755 0.0877 0.9568  2 Cl 2.37-2.56
Li: 0.7188 0.5432 0.6310  2 Cl 2.37-2.56
Li: 0.7188 0.6755 0.0878  2 Cl 2.37-2.56
Li: 0.7812 0.4122 0.8245  2 Cl 2.37-2.56
Li: 0.7812 0.8690 0.9568  2 Cl 2.37-2.56
Li: 0.8245 0.5432 0.4123  2 Cl 2.37-2.56
Li: 0.8245 0.7812 0.4122  2 Cl 2.37-2.56
Li: 0.8690 0.4123 0.0878  2 Cl 2.37-2.56
Li: 0.8690 0.9568 0.7812  2 Cl 2.37-2.56
Li: 0.9123 0.0432 0.3245  2 Cl 2.37-2.56
Li: 0.9122 0.1310 0.5877  2 Cl 2.37-2.56
Li: 0.9122 0.2812 0.3245  2 Cl 2.37-2.56
Li: 0.9123 0.3690 0.5878  2 Cl 2.37-2.56
Li: 0.9568 0.6755 0.0877  2 Cl 2.37-2.56
Li: 0.9568 0.7812 0.8690  2 Cl 2.37-2.56
Sb: 0.1250 0.2500 0.3750  8 Li 2.86
Sb: 0.1250 0.3750 0.7500  8 Li 2.86
Sb: 0.2500 0.3750 0.1250  8 Li 2.86
Sb: 0.2500 0.8750 0.6250  8 Li 2.86
Sb: 0.3750 0.1250 0.2500  8 Li 2.86
Sb: 0.3750 0.7500 0.1250  8 Li 2.86
Sb: 0.6250 0.2500 0.8750  8 Li 2.86
Sb: 0.6250 0.8750 0.7500  8 Li 2.86
Sb: 0.7500 0.1250 0.3750  8 Li 2.86
Sb: 0.7500 0.6250 0.8750  8 Li 2.86
Sb: 0.8750 0.6250 0.2500  8 Li 2.86
Sb: 0.8750 0.7500 0.6250  8 Li 2.86
Cl: 0.0000 0.0000 0.0000  6 Li 2.56
Cl: 0.0000 0.0000 0.5000  6 Li 2.56
Cl: 0.0000 0.5000 0.0000  6 Li 2.56
Cl: 0.0000 0.5000 0.5000  6 Li 2.56
Cl: 0.1250 0.7500 0.8750  4 Li 2.37
Cl: 0.1250 0.8750 0.2500  4 Li 2.37
Cl: 0.2500 0.1250 0.8750  4 Li 2.37
Cl: 0.2500 0.6250 0.3750  4 Li 2.37
Cl: 0.3750 0.2500 0.6250  4 Li 2.37
Cl: 0.3750 0.6250 0.7500  4 Li 2.37
Cl: 0.5000 0.0000 0.0000  6 Li 2.56
Cl: 0.5000 0.0000 0.5000  6 Li 2.56
Cl: 0.5000 0.5000 0.0000  6 Li 2.56
Cl: 0.5000 0.5000 0.5000  6 Li 2.56
Cl: 0.6250 0.3750 0.2500  4 Li 2.37
Cl: 0.6250 0.7500 0.3750  4 Li 2.37
Cl: 0.7500 0.3750 0.6250  4 Li 2.37
Cl: 0.7500 0.8750 0.1250  4 Li 2.37
Cl: 0.8750 0.1250 0.7500  4 Li 2.37
Cl: 0.8750 0.2500 0.1250  4 Li 2.37

=====

No. 6
Li2SbCl | PBE | relaxed

Results
The value obtained for the total magnetic moment is 0.0 μB/f.u. The value obtained for the energy relative to the elements, uncorrected is -1.030 eV per atom. The final energy comes out at -3.479 eV per atom. The distance to the lowest polymorph of the same formula is 30 meV per atom.

Cell: 3.3084 3.3084 7.8251 Å, 90.00 90.00 90.00°
With the nearest neighbours (Å) after each atom.
Element x y z (fractional)
Li: 0.0000 0.0000 0.0000  4 Cl 2.46
Li: 0.5000 0.5000 0.3966  1 Cl 2.34
Sb: 0.0000 0.0000 0.6284  5 Li 2.91-2.96
Cl: 0.5000 0.5000 0.0979  5 Li 2.34-2.46